The following is a DFT calculation (GGA-PBE) of an optimized crystal structure of GaGeW2.

```
GaGeW2
1.0
0.000 3.133 3.133
3.133 0.000 3.133
3.133 3.133 0.000
Ga W Ge
1 2 1
direct
0.000 0.000 0.000 Ga
0.750 0.750 0.750 W
0.250 0.250 0.250 W
0.500 0.500 0.500 Ge
```

**Density**: 13.8 g/cm³
**ΔE_f**: 0.429 eV/atom
**Density of states at the Fermi level**: 2.08 states/eV per cell
**Total magnetization**: 0.00 μB per atom